(1)
Tb6Pr4Tm | PBE | relaxed

## Properties
* relative energy among the computed polymorphs: 0.000 eV per atom
* spin magnetization: 0.00 μB/f.u.
* total energy: -4.38 eV per atom
* E_form: 0.2878 eV per atom

The structure in CIF format:
```
data_Tb6Pr4Tm
_chemical_formula_sum 'Tb12 Pr8 Tm2'
_cell_length_a 6.7111
_cell_length_b 6.7111
_cell_length_c 17.0137
_cell_angle_alpha 90.00
_cell_angle_beta 90.00
_cell_angle_gamma 90.00
_symmetry_space_group_name_H-M 'I -4 2 m'
_symmetry_Int_Tables_number 121
_symmetry_space_group_name_Hall 'I -4 2'
loop_
_atom_site_label
_atom_site_fract_x
_atom_site_fract_y
_atom_site_fract_z
Tb1 0.0000 0.5000 0.0000
Tb2 0.1766 0.1766 0.1224
Pr1 0.1901 0.1901 0.3239
Tm1 0.0000 0.0000 0.5000
```

***

(2)
TbPr10Tm6 | PBE | relaxed

## Properties
* spin magnetization: 0.00 μB/f.u.
* total energy: -4.53 eV per atom
* E_form: 0.1286 eV per atom

The structure in CIF format:
```
data_TbPr10Tm6
_chemical_formula_sum 'Tb1 Pr10 Tm6'
_cell_length_a 9.8690
_cell_length_b 9.8690
_cell_length_c 6.9247
_cell_angle_alpha 90.00
_cell_angle_beta 90.00
_cell_angle_gamma 120.00
_symmetry_space_group_name_H-M 'P -3 1 m'
_symmetry_Int_Tables_number 162
_symmetry_space_group_name_Hall '-P 3 2'
loop_
_atom_site_label
_atom_site_fract_x
_atom_site_fract_y
_atom_site_fract_z
Tb1 0.0000 0.0000 0.0000
Pr1 0.0000 0.2770 0.3197
Pr2 0.3333 0.6667 0.0000
Pr3 0.3333 0.6667 0.5000
Tm1 0.0000 0.3654 0.8179
```

***

(3)
Tb10PrTm4 | PBE | relaxed

## Properties
* spin magnetization: 0.00 μB/f.u.
* total energy: -3.87 eV per atom
* E_form: 0.7260 eV per atom

The structure in CIF format:
```
data_Tb10PrTm4
_chemical_formula_sum 'Tb20 Pr2 Tm8'
_cell_length_a 12.1408
_cell_length_b 12.1408
_cell_length_c 7.6643
_cell_angle_alpha 90.00
_cell_angle_beta 90.00
_cell_angle_gamma 90.00
_symmetry_space_group_name_H-M 'I 4/m'
_symmetry_Int_Tables_number 87
_symmetry_space_group_name_Hall '-I 4'
loop_
_atom_site_label
_atom_site_fract_x
_atom_site_fract_y
_atom_site_fract_z
Tb1 0.0000 0.5000 0.2500
Tb2 0.1009 0.2025 0.2474
Pr1 0.0000 0.0000 0.5000
Tm1 0.0998 0.6994 0.0000
```

***

(4)
Tb2Pr5Tm4 | PBE | relaxed

## Properties
* relative energy among the computed polymorphs: 0.104 eV per atom
* spin magnetization: 0.00 μB/f.u.
* total energy: -4.46 eV per atom
* E_form: 0.1810 eV per atom

The structure in CIF format:
```
data_Tb2Pr5Tm4
_chemical_formula_sum 'Tb4 Pr10 Tm8'
_cell_length_a 3.5372
_cell_length_b 9.1531
_cell_length_c 23.5990
_cell_angle_alpha 90.00
_cell_angle_beta 90.00
_cell_angle_gamma 90.00
_symmetry_space_group_name_H-M 'I m m m'
_symmetry_Int_Tables_number 71
_symmetry_space_group_name_Hall '-I 2 2'
loop_
_atom_site_label
_atom_site_fract_x
_atom_site_fract_y
_atom_site_fract_z
Tb1 0.0000 0.0000 0.2305
Pr1 0.0000 0.2014 0.3547
Pr2 0.0000 0.5000 0.0000
Tm1 0.0000 0.0000 0.0960
Tm2 0.0000 0.3170 0.5000
```

***

(5)
Tb3Pr8Tm4 | PBE | relaxed

## Properties
* spin magnetization: 0.00 μB/f.u.
* total energy: -4.34 eV per atom
* E_form: 0.3316 eV per atom

The structure in CIF format:
```
data_Tb3Pr8Tm4
_chemical_formula_sum 'Tb6 Pr16 Tm8'
_cell_length_a 13.8061
_cell_length_b 12.2856
_cell_length_c 6.8838
_cell_angle_alpha 90.00
_cell_angle_beta 117.77
_cell_angle_gamma 90.00
_symmetry_space_group_name_H-M 'C 1 2/m 1'
_symmetry_Int_Tables_number 12
loop_
_symmetry_equiv_pos_as_xyz
'x,y,z'
'-x,-y,-z'
'-x,y,-z'
'x,-y,z'
'x+1/2,y+1/2,z'
'-x+1/2,-y+1/2,-z'
'-x+1/2,y+1/2,-z'
'x+1/2,-y+1/2,z'
loop_
_atom_site_label
_atom_site_fract_x
_atom_site_fract_y
_atom_site_fract_z
Tb1 0.0000 0.0000 0.0000
Tb2 0.2500 0.2500 0.5000
Pr1 0.0000 0.2061 0.5000
Pr2 0.0000 0.2547 0.0000
Pr3 0.2050 0.0000 0.6717
Pr4 0.2426 0.5000 0.7945
Tm1 0.0000 0.5000 0.0000
Tm2 0.0000 0.5000 0.5000
Tm3 0.2500 0.2500 0.0000
```

***

(6)
Tb3Pr6Tm2 | PBE | relaxed

## Properties
* relative energy among the computed polymorphs: 0.214 eV per atom
* spin magnetization: 0.00 μB/f.u.
* total energy: -4.39 eV per atom
* E_form: 0.2964 eV per atom

The structure in CIF format:
```
data_Tb3Pr6Tm2
_chemical_formula_sum 'Tb6 Pr12 Tm4'
_cell_length_a 4.7734
_cell_length_b 4.7734
_cell_length_c 34.2328
_cell_angle_alpha 90.00
_cell_angle_beta 90.00
_cell_angle_gamma 90.00
_symmetry_space_group_name_H-M 'I 4/m m m'
_symmetry_Int_Tables_number 139
_symmetry_space_group_name_Hall '-I 4 2'
loop_
_atom_site_label
_atom_site_fract_x
_atom_site_fract_y
_atom_site_fract_z
Tb1 0.0000 0.0000 0.0000
Tb2 0.0000 0.0000 0.1929
Pr1 0.0000 0.0000 0.2932
Pr2 0.0000 0.5000 0.1187
Tm1 0.0000 0.0000 0.4554
```

***

(7)
Tb4Pr2Tm5 | PBE | relaxed

## Properties
* relative energy among the computed polymorphs: 0.000 eV per atom
* spin magnetization: 0.00 μB/f.u.
* total energy: -4.56 eV per atom
* E_form: 0.0231 eV per atom

The structure in CIF format:
```
data_Tb4Pr2Tm5
_chemical_formula_sum 'Tb4 Pr2 Tm5'
_cell_length_a 3.5545
_cell_length_b 8.7080
_cell_length_c 11.7928
_cell_angle_alpha 104.19
_cell_angle_beta 98.65
_cell_angle_gamma 90.01
_symmetry_space_group_name_H-M 'P -1'
_symmetry_Int_Tables_number 2
loop_
_symmetry_equiv_pos_as_xyz
'x,y,z'
'-x,-y,-z'
loop_
_atom_site_label
_atom_site_fract_x
_atom_site_fract_y
_atom_site_fract_z
Tb1 0.0466 0.3595 0.0932
Tb2 0.3173 0.5463 0.6352
Pr1 0.4085 0.2693 0.8162
Tm1 0.1367 0.0929 0.2738
Tm2 0.2288 0.8204 0.4576
Tm3 0.5000 0.0000 0.0000
```

***

(8)
Tb4Pr6Tm | PBE | relaxed

## Properties
* relative energy among the computed polymorphs: 0.000 eV per atom
* spin magnetization: 0.00 μB/f.u.
* total energy: -4.42 eV per atom
* E_form: 0.2794 eV per atom

The structure in CIF format:
```
data_Tb4Pr6Tm
_chemical_formula_sum 'Tb8 Pr12 Tm2'
_cell_length_a 6.6308
_cell_length_b 6.6308
_cell_length_c 17.6279
_cell_angle_alpha 90.00
_cell_angle_beta 90.00
_cell_angle_gamma 90.00
_symmetry_space_group_name_H-M 'I -4 2 m'
_symmetry_Int_Tables_number 121
_symmetry_space_group_name_Hall 'I -4 2'
loop_
_atom_site_label
_atom_site_fract_x
_atom_site_fract_y
_atom_site_fract_z
Tb1 0.1852 0.1852 0.1746
Pr1 0.0000 0.5000 0.0000
Pr2 0.1788 0.1788 0.3646
Tm1 0.0000 0.0000 0.0000
```